No. 1
This record from the Alexandria database describes KCd3 after structural relaxation. The functional is PBE.

Lattice parameters (Å, degrees): 5.9901 5.9901 5.9901 135.65 125.30 72.97
Sites, in units of the cell vectors:
1 K 0.0000 0.0000 0.0000
2 Cd 0.2765 0.7765 0.5000
3 Cd 0.5000 0.5000 0.0000
4 Cd 0.7235 0.2235 0.5000

Results
- Calculated total energy: -0.0346 Ha/atom
- Formation energy: 19 meV/atom

---

No. 2
This record from the Alexandria database describes Ac2Np3NiPt12 after structural relaxation. The functional is PBE.

Lattice parameters (Å, degrees): 7.9897 7.9897 7.9897 69.88 69.88 69.88
Sites, in units of the cell vectors:
1 Ac 0.1115 0.1115 0.1115
2 Ac 0.8885 0.8885 0.8885
3 Np 0.0000 0.5000 0.5000
4 Np 0.5000 0.0000 0.5000
5 Np 0.5000 0.5000 0.0000
6 Ni 0.5000 0.5000 0.5000
7 Pt 0.1078 0.1078 0.5246
8 Pt 0.1078 0.5246 0.1078
9 Pt 0.1640 0.6349 0.6349
10 Pt 0.3651 0.3651 0.8360
11 Pt 0.3651 0.8360 0.3651
12 Pt 0.4754 0.8922 0.8922
13 Pt 0.5246 0.1078 0.1078
14 Pt 0.6349 0.1640 0.6349
15 Pt 0.6349 0.6349 0.1640
16 Pt 0.8360 0.3651 0.3651
17 Pt 0.8922 0.4754 0.8922
18 Pt 0.8922 0.8922 0.4754

Results
- Calculated total energy: -0.2661 Ha/atom
- Formation energy: -278 meV/atom